1.
A plane-wave DFT calculation with PBE was carried out for a geometry-optimized YMgCu2 structure.

The energy of formation from the pure elements is 0.24 eV/atom. For the density of states at the Fermi level, the calculation gives 0.782 states/eV per atom. The value obtained for the volume is 22.01 Å³ per atom.

The space group is I-42d (No. 122) and the conventional cell measures 4.4891, 4.4891 and 17.4768 Å, with angles of 90.00, 90.00 and 90.00 degrees. Symmetry generates all atoms from Y at (0.0000, 0.0000, 0.0000), Mg at (0.0000, 0.0000, 0.5000) and Cu at (0.1020, 0.2500, 0.6250).



2.
A plane-wave DFT calculation with PBE was carried out for a geometry-optimized Na3Ca2ZrO6 structure.

For the density of states at the Fermi level, the calculation gives 0.846 states/eV per atom. The value obtained for the volume is 13.75 Å³ per atom. The value obtained for the formation energy (no corrections) is -2.379 eV per atom.

The space group is C2/m (No. 12) and the conventional cell measures 5.8780, 10.1743 and 5.8619 Å, with angles of 90.00, 109.75 and 90.00 degrees. Symmetry generates all atoms from Na at (0.0000, 0.0000, 0.0000), Na at (0.0000, 0.3340, 0.0000), Ca at (0.0000, 0.1669, 0.5000), Zr at (0.0000, 0.5000, 0.5000), O at (0.2248, 0.3473, 0.7161) and O at (0.2343, 0.5000, 0.2884).



3.
A plane-wave DFT calculation with PBE was carried out for a geometry-optimized PrY6Se8 structure.

For the density of states at the Fermi level, the calculation gives 0.414 states/eV per atom. As for the excess energy over the best structure of this formula in the dataset: 0.000 eV/f.u. The value obtained for the volume is 25.66 Å³ per atom. The value obtained for the formation energy (no corrections) is -1.837 eV per atom.

The space group is Fm-3m (No. 225) and the conventional cell measures 11.5469, 11.5469 and 11.5469 Å, with angles of 90.00, 90.00 and 90.00 degrees. Symmetry generates all atoms from Pr at (0.0000, 0.0000, 0.0000), Y at (0.0000, 0.2500, 0.2500), Se at (0.0000, 0.0000, 0.2607) and Se at (0.2500, 0.2500, 0.2500).



4.
A plane-wave DFT calculation with PBE was carried out for a geometry-optimized TlHgF3 structure.

For the density of states at the Fermi level, the calculation gives 0.000 states/eV per atom. The value obtained for the volume is 30.66 Å³ per atom. The value obtained for the formation energy (no corrections) is -1.502 eV per atom.

The space group is Amm2 (No. 38) and the conventional cell measures 3.6135, 6.8758 and 12.3386 Å, with angles of 90.00, 90.00 and 90.00 degrees. Symmetry generates all atoms from Tl at (0.0000, 0.0000, 0.0000), Hg at (0.5000, 0.0000, 0.6721), F at (0.0000, 0.2007, 0.6352) and F at (0.5000, 0.0000, 0.8555).



5.
A plane-wave DFT calculation with PBE was carried out for a geometry-optimized AcLaPt10 structure.

The energy of formation from the pure elements is -0.78 eV/atom. For the density of states at the Fermi level, the calculation gives 0.679 states/eV per atom. The value obtained for the volume is 19.31 Å³ per atom.

The space group is Pmmm (No. 47) and the conventional cell measures 4.4268, 5.5034 and 9.5128 Å, with angles of 90.00, 90.00 and 90.00 degrees. Symmetry generates all atoms from Ac at (0.0000, 0.0000, 0.0000), La at (0.0000, 0.5000, 0.5000), Pt at (0.0000, 0.0000, 0.3363), Pt at (0.0000, 0.5000, 0.1708), Pt at (0.5000, 0.0000, 0.5000), Pt at (0.5000, 0.2505, 0.2518) and Pt at (0.5000, 0.5000, 0.0000).



6.
A plane-wave DFT calculation with PBE was carried out for a geometry-optimized MgSnOF2 structure.

For the density of states at the Fermi level, the calculation gives 0.000 states/eV per atom. As for the excess energy over the best structure of this formula in the dataset: 0.000 eV/f.u. The value obtained for the volume is 12.92 Å³ per atom. The value obtained for the formation energy (no corrections) is -2.326 eV per atom.

The space group is P4/mmm (No. 123) and the conventional cell measures 3.8831, 3.8831 and 4.2850 Å, with angles of 90.00, 90.00 and 90.00 degrees. Symmetry generates all atoms from Mg at (0.0000, 0.0000, 0.0000), Sn at (0.5000, 0.5000, 0.5000), O at (0.0000, 0.0000, 0.5000) and F at (0.0000, 0.5000, 0.0000).



7.
A plane-wave DFT calculation with PBE was carried out for a geometry-optimized ZnFeCu2 structure.

The energy of formation from the pure elements is 0.09 eV/atom. For the density of states at the Fermi level, the calculation gives 0.738 states/eV per atom. The value obtained for the volume is 12.45 Å³ per atom.

The space group is Cm (No. 8) and the conventional cell measures 8.6648, 2.5632 and 4.5618 Å, with angles of 90.00, 100.53 and 90.00 degrees. Symmetry generates all atoms from Zn at (0.0000, 0.0000, 0.0000), Fe at (0.2510, 0.5000, 0.2607), Cu at (0.0009, 0.5000, 0.4994) and Cu at (0.2499, 0.0000, 0.7540).



8.
A plane-wave DFT calculation with PBE was carried out for a geometry-optimized LaPrNd3Ho structure.

The energy of formation from the pure elements is 0.02 eV/atom. For the density of states at the Fermi level, the calculation gives 1.590 states/eV per atom. The value obtained for the volume is 35.08 Å³ per atom.

The space group is P2_1/m (No. 11) and the conventional cell measures 8.1938, 5.2146 and 10.3841 Å, with angles of 90.00, 108.44 and 90.00 degrees. Symmetry generates all atoms from La at (0.1668, 0.2500, 0.2898), Pr at (0.4998, 0.2500, 0.6280), Nd at (0.1679, 0.7500, 0.5443), Nd at (0.1704, 0.2500, 0.7940), Nd at (0.1711, 0.7500, 0.0403) and Ho at (0.4976, 0.7500, 0.8780).



9.
A plane-wave DFT calculation with PBE was carried out for a geometry-optimized TbVFe4 structure.

The energy of formation from the pure elements is 0.00 eV/atom. For the density of states at the Fermi level, the calculation gives 0.739 states/eV per atom. The value obtained for the volume is 14.41 Å³ per atom.

The space group is F-43m (No. 216) and the conventional cell measures 7.0195, 7.0195 and 7.0195 Å, with angles of 90.00, 90.00 and 90.00 degrees. Symmetry generates all atoms from Tb at (0.0000, 0.0000, 0.0000), V at (0.2500, 0.2500, 0.2500) and Fe at (0.1241, 0.1241, 0.6241).



10.
A plane-wave DFT calculation with PBE was carried out for a geometry-optimized TaFe2Tc structure.

The energy of formation from the pure elements is 0.09 eV/atom. For the density of states at the Fermi level, the calculation gives 1.289 states/eV per atom. As for the excess energy over the best structure of this formula in the dataset: 0.692 eV/f.u. The value obtained for the volume is 13.54 Å³ per atom.

The space group is P4/mmm (No. 123) and the conventional cell measures 2.6968, 2.6968 and 7.4451 Å, with angles of 90.00, 90.00 and 90.00 degrees. Symmetry generates all atoms from Ta at (0.0000, 0.0000, 0.0000), Fe at (0.5000, 0.5000, 0.2664) and Tc at (0.0000, 0.0000, 0.5000).



11.
A plane-wave DFT calculation with PBE was carried out for a geometry-optimized SmGa3CuRh structure.

The energy of formation from the pure elements is -0.37 eV/atom. For the density of states at the Fermi level, the calculation gives 0.422 states/eV per atom. The value obtained for the volume is 18.84 Å³ per atom.

The space group is Cmcm (No. 63) and the conventional cell measures 6.1406, 11.7124 and 6.2884 Å, with angles of 90.00, 90.00 and 90.00 degrees. Symmetry generates all atoms from Sm at (0.0000, 0.2186, 0.2500), Ga at (0.0000, 0.3338, 0.7500), Ga at (0.2146, 0.0000, 0.0000), Cu at (0.0000, 0.4564, 0.2500) and Rh at (0.0000, 0.1268, 0.7500).



Copy entry 10 word for word.
A plane-wave DFT calculation with PBE was carried out for a geometry-optimized TaFe2Tc structure.

The energy of formation from the pure elements is 0.09 eV/atom. For the density of states at the Fermi level, the calculation gives 1.289 states/eV per atom. As for the excess energy over the best structure of this formula in the dataset: 0.692 eV/f.u. The value obtained for the volume is 13.54 Å³ per atom.

The space group is P4/mmm (No. 123) and the conventional cell measures 2.6968, 2.6968 and 7.4451 Å, with angles of 90.00, 90.00 and 90.00 degrees. Symmetry generates all atoms from Ta at (0.0000, 0.0000, 0.0000), Fe at (0.5000, 0.5000, 0.2664) and Tc at (0.0000, 0.0000, 0.5000).